Record 1
Below is a geometry-optimized Pm4NdDySe8 structure, with properties calculated at the PBE level.

DOS at the Fermi energy	8.85	states/eV/f.u.
space-group type	No. 160
E_tot	-80.5	eV for the cell shown

Geometry as POSCAR:
```
Pm4NdDySe8
1.0
-3.836 -6.488 -4.171
3.870 -7.679 -0.509
-3.137 -6.706 4.420
Se Nd Dy Pm
8 1 1 4
Direct
0.763 0.247 0.743
0.247 0.763 0.743
0.247 0.247 0.743
0.227 0.757 0.260
0.757 0.757 0.260
0.757 0.227 0.260
0.245 0.245 0.265
0.758 0.758 0.726
0.001 0.001 0.996
0.375 0.375 0.876
0.497 0.001 0.501
0.625 0.625 0.124
0.001 0.001 0.501
0.001 0.497 0.501
```

=====

Record 2
Below is a geometry-optimized Hf2Al4C5 structure, with properties calculated at the PBE level.

DOS at the Fermi energy	1.29	states/eV/f.u.
space-group type	No. 166
E_tot	-85.2	eV for the cell shown

Geometry as POSCAR:
```
Hf2Al4C5
1.0
13.793 0.009 0.005
13.389 3.316 0.005
13.389 1.637 2.883
Al C Hf
4 5 2
Direct
0.189 0.189 0.189
0.088 0.088 0.088
0.811 0.811 0.811
0.912 0.912 0.912
0.864 0.864 0.864
0.136 0.136 0.136
0.267 0.267 0.267
0.000 0.000 0.000
0.733 0.733 0.733
0.366 0.366 0.366
0.634 0.634 0.634
```

=====

Record 3
Below is a geometry-optimized Ca2NbV structure, with properties calculated at the PBE level.

E above lowest polymorph	128	meV/atom
DOS at the Fermi energy	5.17	states/eV/f.u.
space-group type	No. 122

Geometry as POSCAR:
```
Ca2NbV
1.0
8.302 0.000 0.000
0.000 8.302 0.000
4.151 4.151 2.905
Ca Nb V
4 2 2
Direct
0.875 0.857 0.750
0.607 0.125 0.250
0.143 0.625 0.250
0.375 0.393 0.750
0.000 0.000 0.000
0.750 0.250 0.500
0.250 0.750 0.500
0.500 0.500 0.000
```

=====

Record 4
Below is a geometry-optimized ReNiTe2 structure, with properties calculated at the PBE level.

E above lowest polymorph	172	meV/atom
DOS at the Fermi energy	2.52	states/eV/f.u.
space-group type	No. 71

Geometry as POSCAR:
```
ReNiTe2
1.0
7.192 2.077 -0.067
4.007 6.323 0.067
-5.425 -4.434 2.639
Ni Te Re
1 2 1
Direct
0.750 0.250 0.500
0.616 0.616 0.000
0.884 0.884 0.000
0.250 0.750 0.500
```

=====

Record 5
Below is a geometry-optimized Be3Mo structure, with properties calculated at the PBE level.

E above lowest polymorph	412	meV/atom
DOS at the Fermi energy	1.76	states/eV/f.u.
space-group type	No. 225

Geometry as POSCAR:
```
Be3Mo
1.0
-0.247 -3.664 -1.219
1.926 -2.792 1.861
-1.931 -2.612 2.102
Be Mo
3 1
Direct
0.250 0.250 0.250
0.500 0.500 0.500
0.000 0.000 0.000
0.750 0.750 0.750
```

=====

Record 6
Below is a geometry-optimized Hf2FeSiBi structure, with properties calculated at the PBE level.

DOS at the Fermi energy	3.23	states/eV/f.u.
space-group type	No. 123
E_tot	-37.9	eV for the cell shown

Geometry as POSCAR:
```
Hf2FeSiBi
1.0
4.895 0.000 0.000
0.000 4.304 0.000
0.000 0.000 4.895
Hf Bi Si Fe
2 1 1 1
Direct
0.000 0.000 0.500
0.500 0.000 0.000
0.500 0.500 0.500
0.000 0.500 0.000
0.000 0.000 0.000
```

=====

Record 7
Below is a geometry-optimized ScZn2B structure, with properties calculated at the PBE level.

DOS at the Fermi energy	1.28	states/eV/f.u.
space-group type	No. 122
E_tot	-28.4	eV for the cell shown

Geometry as POSCAR:
```
ScZn2B
1.0
4.324 0.000 0.000
0.000 4.324 0.000
2.162 2.162 7.184
Sc Zn B
2 4 2
Direct
0.000 0.000 0.000
0.750 0.250 0.500
0.297 0.625 0.250
0.453 0.125 0.250
0.875 0.703 0.750
0.375 0.547 0.750
0.500 0.500 0.000
0.250 0.750 0.500
```

=====

Record 8
Below is a geometry-optimized TbLuTlOs structure, with properties calculated at the PBE level.

DOS at the Fermi energy	2.89	states/eV/f.u.
space-group type	No. 216
E_tot	-23.4	eV for the cell shown

Geometry as POSCAR:
```
TbLuTlOs
1.0
5.027 0.000 0.000
2.513 4.353 0.000
2.513 1.451 4.104
Tl Tb Os Lu
1 1 1 1
Direct
0.500 0.500 0.500
0.250 0.250 0.250
0.000 0.000 0.000
0.750 0.750 0.750
```

=====

Record 9
Below is a geometry-optimized RbAc3 structure, with properties calculated at the PBE level.

E above lowest polymorph	0	meV/atom
DOS at the Fermi energy	6.93	states/eV/f.u.
space-group type	No. 221

Geometry as POSCAR:
```
RbAc3
1.0
-2.245 -4.733 2.518
1.825 -3.241 -4.466
5.041 -0.935 2.738
Ac Rb
3 1
Direct
0.500 0.000 0.500
0.500 0.500 0.000
0.000 0.500 0.500
0.000 0.000 0.000
```

=====

Record 10
Below is a geometry-optimized KCr2Si structure, with properties calculated at the PBE level.

DOS at the Fermi energy	2.39	states/eV/f.u.
space-group type	No. 71
E_tot	-22.3	eV for the cell shown

Geometry as POSCAR:
```
KCr2Si
1.0
6.189 0.015 0.007
2.750 5.544 -0.007
-3.490 -4.353 2.677
Cr Si K
2 1 1
Direct
0.435 0.435 0.000
0.065 0.065 0.000
0.250 0.750 0.500
0.750 0.250 0.500
```

=====

Record 11
Below is a geometry-optimized OsI3Cl structure, with properties calculated at the PBE level.

E above lowest polymorph	0	meV/atom
DOS at the Fermi energy	6.89	states/eV/f.u.
space-group type	No. 221

Geometry as POSCAR:
```
OsI3Cl
1.0
-4.217 1.602 -2.963
2.756 -1.090 -4.511
-1.938 -5.038 0.034
Os Cl I
1 1 3
Direct
0.000 0.000 0.000
0.500 0.500 0.500
0.000 0.500 0.000
0.500 0.000 0.000
0.000 0.000 0.500
```

=====

Record 12
Below is a geometry-optimized SrYTlSn structure, with properties calculated at the PBE level.

DOS at the Fermi energy	2.43	states/eV/f.u.
space-group type	No. 216
E_tot	-16.3	eV for the cell shown

Geometry as POSCAR:
```
SrYTlSn
1.0
-0.608 -1.748 5.231
4.078 -2.840 2.467
2.948 2.350 4.071
Sn Y Sr Tl
1 1 1 1
Direct
0.000 0.000 0.000
0.750 0.750 0.750
0.250 0.250 0.250
0.500 0.500 0.500
```

=====

Record 13
Below is a geometry-optimized Pr2Al3Pd12Au structure, with properties calculated at the PBE level.

DOS at the Fermi energy	6.40	states/eV/f.u.
space-group type	No. 166
E_tot	-94.4	eV for the cell shown

Geometry as POSCAR:
```
Pr2Al3Pd12Au
1.0
-5.247 -0.979 -4.437
3.917 0.154 -5.729
0.785 -6.881 -0.472
Al Pd Au Pr
3 12 1 2
Direct
0.000 0.500 0.000
0.000 0.000 0.500
0.500 0.000 0.000
0.089 0.617 0.617
0.187 0.187 0.690
0.187 0.690 0.187
0.383 0.383 0.911
0.617 0.617 0.089
0.813 0.813 0.310
0.617 0.089 0.617
0.911 0.383 0.383
0.813 0.310 0.813
0.310 0.813 0.813
0.383 0.911 0.383
0.690 0.187 0.187
0.000 0.000 0.000
0.648 0.648 0.648
0.352 0.352 0.352
```

=====

Record 14
Below is a geometry-optimized BaIn2TePt structure, with properties calculated at the PBE level.

DOS at the Fermi energy	1.35	states/eV/f.u.
space-group type	No. 123
E_tot	-20.3	eV for the cell shown

Geometry as POSCAR:
```
BaIn2TePt
1.0
-4.458 -1.593 -2.161
-0.792 -3.222 4.009
-3.044 4.468 2.988
Ba In Pt Te
1 2 1 1
Direct
0.000 0.000 0.500
0.000 0.500 0.000
0.500 0.000 0.000
0.000 0.000 0.000
0.500 0.500 0.500
```

=====

Record 15
Below is a geometry-optimized PtSeI3 structure, with properties calculated at the PBE level.

E above lowest polymorph	500	meV/atom
DOS at the Fermi energy	9.70	states/eV/f.u.
space-group type	No. 221

Geometry as POSCAR:
```
PtSeI3
1.0
5.655 0.000 0.000
0.000 5.655 0.000
0.000 0.000 5.655
Pt I Se
1 3 1
Direct
0.500 0.500 0.500
0.500 0.000 0.000
0.000 0.500 0.000
0.000 0.000 0.500
0.000 0.000 0.000
```

=====

Record 16
Below is a geometry-optimized PaReTc2 structure, with properties calculated at the PBE level.

E above lowest polymorph	100	meV/atom
DOS at the Fermi energy	8.79	states/eV/f.u.
space-group type	No. 225

Geometry as POSCAR:
```
PaReTc2
1.0
-0.914 -2.843 -3.512
1.352 -4.404 0.187
-3.125 -3.352 0.501
Re Pa Tc
1 1 2
Direct
0.000 0.000 0.000
0.500 0.500 0.500
0.750 0.750 0.750
0.250 0.250 0.250
```

=====

Record 17
Below is a geometry-optimized CaDyMgAu structure, with properties calculated at the PBE level.

DOS at the Fermi energy	3.27	states/eV/f.u.
space-group type	No. 216
E_tot	-13.0	eV for the cell shown

Geometry as POSCAR:
```
CaDyMgAu
1.0
5.228 0.000 0.000
2.614 4.528 0.000
2.614 1.509 4.269
Dy Ca Mg Au
1 1 1 1
Direct
0.750 0.750 0.750
0.250 0.250 0.250
0.500 0.500 0.500
0.000 0.000 0.000
```

=====

Record 18
Below is a geometry-optimized Pr2Th2Rh3 structure, with properties calculated at the PBE level.

DOS at the Fermi energy	4.87	states/eV/f.u.
space-group type	No. 2
E_tot	-51.3	eV for the cell shown

Geometry as POSCAR:
```
Pr2Th2Rh3
1.0
4.097 -0.005 0.001
-2.044 6.732 -0.056
-0.004 -1.075 7.201
Pr Rh Th
2 3 2
Direct
0.130 0.259 0.367
0.870 0.741 0.633
0.000 0.000 0.000
0.238 0.478 0.751
0.762 0.522 0.249
0.370 0.739 0.100
0.630 0.261 0.900
```

=====

Record 19
Below is a geometry-optimized BaGa2Au structure, with properties calculated at the PBE level.

DOS at the Fermi energy	3.03	states/eV/f.u.
space-group type	No. 38
E_tot	-12.5	eV for the cell shown

Geometry as POSCAR:
```
BaGa2Au
1.0
-1.095 -4.005 -2.901
4.320 -2.052 1.202
-2.339 -2.109 3.794
Ga Ba Au
2 1 1
Direct
0.500 0.875 0.485
0.500 0.515 0.125
0.000 0.020 0.980
0.500 0.370 0.630
```

=====

Record 20
Below is a geometry-optimized Na8Ag structure, with properties calculated at the PBE level.

DOS at the Fermi energy	3.44	states/eV/f.u.
space-group type	No. 139
E_tot	-13.2	eV for the cell shown

Geometry as POSCAR:
```
Na8Ag
1.0
5.146 0.000 0.000
2.573 7.511 0.000
2.573 0.000 7.511
Na Ag
8 1
Direct
0.654 0.692 0.000
0.346 0.308 0.000
0.654 0.000 0.692
0.000 0.319 0.681
0.346 0.000 0.308
0.681 0.319 0.319
0.319 0.681 0.681
0.000 0.681 0.319
0.000 0.000 0.000
```